(1)
Ca2As3H2Pd5 GGA-PBE relaxed; space group = I4/mmm; total DFT energy (no corrections) = -4.700 eV/atom
1.0
-2.074 2.074 11.102
2.074 -2.074 11.102
2.074 2.074 -11.102
Ca As H Pd
2 3 2 5
direct
0.195 0.195 0.000
0.805 0.805 0.000
0.334 0.334 0.000
0.500 0.500 0.000
0.666 0.666 0.000
0.081 0.081 0.000
0.919 0.919 0.000
0.000 0.000 0.000
0.091 0.591 0.500
0.409 0.909 0.500
0.591 0.091 0.500
0.909 0.409 0.500

(2)
CaAsHPd GGA-PBE relaxed; space group = P-6m2; total DFT energy (no corrections) = -4.502 eV/atom
1.0
4.418 0.000 0.000
-2.209 3.826 0.000
0.000 0.000 3.773
Ca As H Pd
1 1 1 1
direct
0.000 0.000 0.000
0.333 0.667 0.500
0.667 0.333 0.000
0.667 0.333 0.500

(3)
CaPuAsH GGA-PBE relaxed; space group = F-43m; total DFT energy (no corrections) = -6.580 eV/atom
1.0
6.901 0.000 0.000
0.000 6.901 0.000
0.000 0.000 6.901
Ca Pu As H
4 4 4 4
direct
0.000 0.000 0.000
0.000 0.500 0.500
0.500 0.000 0.500
0.500 0.500 0.000
0.000 0.000 0.500
0.000 0.500 0.000
0.500 0.000 0.000
0.500 0.500 0.500
0.250 0.250 0.250
0.250 0.750 0.750
0.750 0.250 0.750
0.750 0.750 0.250
0.250 0.250 0.750
0.250 0.750 0.250
0.750 0.250 0.250
0.750 0.750 0.750

Which formula does entry 3 have?
CaPuAsH

Look up the total DFT energy (no corrections) of the third one.
-6.580 eV/atom